A plane-wave DFT calculation with PBEsol was carried out for Sr2La2MgRu3O12 after structural relaxation.

The structure belongs to space group P2_1/c (No. 14); the cell edges are 15.766, 5.509 and 5.541 Å and the angles 90.00°, 90.21° and 90.00°. The distinct sites, in fractional coordinates, are Sr at (0.124, 0.006, 0.033), La at (0.383, 0.508, 0.464), Mg at (0.500, 0.000, 0.500), Ru at (0.000, 0.000, 0.500), Ru at (0.248, 0.004, 0.503), O at (0.017, 0.218, 0.782), O at (0.123, 0.562, 0.993), O at (0.232, 0.214, 0.787), O at (0.271, 0.715, 0.718), O at (0.370, 0.068, 0.515) and O at (0.484, 0.698, 0.697).

The total DFT energy (no corrections) is -308.33 eV per cell. For the formation energy without anion corrections, the calculation gives -2.23 eV per atom. The value obtained for the relative energy among the computed polymorphs is 0.012 eV per atom. As for the crystal system: monoclinic.